VASP calculation (PBE) on Rb2Cd2Sn3 after structural relaxation.

Output
For the total energy, the calculation gives -32.86 eV per cell.

a b c (Å): 13.362 4.972 8.142
angles (deg): 90.00 121.34 90.00
Atoms (fractional coordinates):
Rb 0.160 0.000 0.308
Rb 0.340 0.500 0.692
Rb 0.660 0.500 0.308
Rb 0.840 0.000 0.692
Cd 0.147 0.000 0.786
Cd 0.353 0.500 0.214
Cd 0.647 0.500 0.786
Cd 0.853 0.000 0.214
Sn 0.000 0.500 0.500
Sn 0.089 0.500 0.938
Sn 0.411 0.000 0.062
Sn 0.500 0.000 0.500
Sn 0.589 0.000 0.938
Sn 0.911 0.500 0.062



VASP calculation (PBE) on Tm2VGa5 after structural relaxation.

Output
For the total energy, the calculation gives -72.18 eV per cell.

a b c (Å): 6.349 6.349 7.369
angles (deg): 90.00 90.00 90.00
Atoms (fractional coordinates):
Tm 0.000 0.500 0.000
Tm 0.000 0.500 0.500
Tm 0.500 0.000 0.000
Tm 0.500 0.000 0.500
V 0.000 0.000 0.388
V 0.500 0.500 0.888
Ga 0.000 0.000 0.034
Ga 0.211 0.211 0.747
Ga 0.211 0.789 0.747
Ga 0.289 0.289 0.247
Ga 0.289 0.711 0.247
Ga 0.500 0.500 0.534
Ga 0.711 0.289 0.247
Ga 0.711 0.711 0.247
Ga 0.789 0.211 0.747
Ga 0.789 0.789 0.747



VASP calculation (PBE) on LiZr3S after structural relaxation.

Output
For the energy above the most stable polymorph in this dataset, the calculation gives 0 meV per atom. The value obtained for the uncorrected formation energy is -0.29 eV per atom.

a b c (Å): 4.865 4.865 4.865
angles (deg): 90.00 90.00 90.00
Atoms (fractional coordinates):
Li 0.000 0.000 0.000
Zr 0.000 0.500 0.500
Zr 0.500 0.000 0.500
Zr 0.500 0.500 0.000
S 0.500 0.500 0.500